The following is a DFT calculation (PBE) of TcSn3Ru after structural relaxation.

It has space group Pm-3m (No. 221), with a = 5.097 Å, b = 5.097 Å, c = 5.097 Å, α = 90.00°, β = 90.00° and γ = 90.00°. The distinct sites, in fractional coordinates, are Tc at (0.000, 0.000, 0.000), Sn at (0.000, 0.500, 0.500) and Ru at (0.500, 0.500, 0.500).

The excess energy over the best structure of this formula in the dataset comes out at 0.000 eV per atom. Its calculated density is 7.0 g/cm³. For the formation energy, the calculation gives 0.8841 eV per atom.